# La2Br4Cl

An optimized crystal structure of La2Br4Cl (PBE, Alexandria).

Geometry as POSCAR:
```
La2Br4Cl
1.0
5.9086 0.0000 0.0000
0.0000 5.9086 0.0000
2.9543 2.9543 7.8972
Cl Br La
1 4 2
direct
0.0000 0.0000 0.0000 Cl
0.7692 0.7692 0.4615 Br
0.2308 0.2308 0.5385 Br
0.0000 0.5000 0.0000 Br
0.5000 0.0000 0.0000 Br
0.5946 0.5946 0.8108 La
0.4054 0.4054 0.1892 La
```

Calculated values
SG   No. 139
Energy relative to the lowest polymorph listed for this composition   18.71 kcal/mol of atoms


# La4BrCl

An optimized crystal structure of La4BrCl (PBE, Alexandria).

Geometry as POSCAR:
```
La4BrCl
1.0
0.0000 4.6677 4.6677
4.6677 0.0000 4.6677
4.6677 4.6677 0.0000
La Br Cl
4 1 1
direct
0.8742 0.3753 0.3753 La
0.3753 0.3753 0.8742 La
0.3753 0.8742 0.3753 La
0.3753 0.3753 0.3753 La
0.7500 0.7500 0.7500 Br
0.0000 0.0000 0.0000 Cl
```

Calculated values
SG   No. 216


no.,formation energy without anion corrections (meV per atom),total magnetization (μB/f.u.)
1,-1044,0.8
2,-72,2.2